SrSc2Zn2: relaxed, PBE.

Cell and atoms, written as CIF:
```
data_SrSc2Zn2
_space_group_name_H-M_alt 'P 4/m b m'
_space_group_IT_number 127
_space_group_name_Hall '-P 4 2ab'
_cell_length_a 8.445
_cell_length_b 8.445
_cell_length_c 3.229
_cell_angle_alpha 90.00
_cell_angle_beta 90.00
_cell_angle_gamma 90.00
loop_
_atom_site_label
_atom_site_fract_x
_atom_site_fract_y
_atom_site_fract_z
Sr1 0.000 0.000 0.000
Sc1 0.125 0.375 0.000
Zn1 0.170 0.670 0.500
```

Output
Formation energy from the elements (eV per formula unit): -0.54
Relative energy among the computed polymorphs (eV/atom): 0.000
DOS(E_F) (states/eV/atom): 1.4536
Uncorrected energy (eV per atom): -3.486


Cd4GaAg3: relaxed, PBE.

Cell and atoms, written as CIF:
```
data_Cd4GaAg3
_space_group_name_H-M_alt 'P m n 21'
_space_group_IT_number 31
_cell_length_a 7.541
_cell_length_b 6.476
_cell_length_c 6.499
_cell_angle_alpha 90.00
_cell_angle_beta 90.00
_cell_angle_gamma 90.00
loop_
_space_group_symop_operation_xyz
'x,y,z'
'-x+1/2,-y,z+1/2'
'-x,y,z'
'x+1/2,-y,z+1/2'
loop_
_atom_site_label
_atom_site_fract_x
_atom_site_fract_y
_atom_site_fract_z
Cd1 0.000 0.015 0.000
Cd2 0.000 0.485 0.004
Cd3 0.240 0.743 0.757
Ga1 0.000 0.030 0.531
Ag1 0.000 0.450 0.540
Ag2 0.205 0.752 0.288
```

Output
Formation energy from the elements (eV per formula unit): 0.04
Relative energy among the computed polymorphs (eV/atom): 0.020
DOS(E_F) (states/eV/atom): 0.2737
Uncorrected energy (eV per atom): -1.900


Li3SmPd2: relaxed, PBE.

Cell and atoms, written as CIF:
```
data_Li3SmPd2
_space_group_name_H-M_alt 'C 1 2/m 1'
_space_group_IT_number 12
_cell_length_a 13.876
_cell_length_b 4.187
_cell_length_c 8.423
_cell_angle_alpha 90.00
_cell_angle_beta 118.23
_cell_angle_gamma 90.00
loop_
_space_group_symop_operation_xyz
'x,y,z'
'-x,-y,-z'
'-x,y,-z'
'x,-y,z'
'x+1/2,y+1/2,z'
'-x+1/2,-y+1/2,-z'
'-x+1/2,y+1/2,-z'
'x+1/2,-y+1/2,z'
loop_
_atom_site_label
_atom_site_fract_x
_atom_site_fract_y
_atom_site_fract_z
Li1 0.060 0.000 0.394
Li2 0.083 0.500 0.688
Li3 0.216 0.500 0.541
Sm1 0.136 0.000 0.023
Pd1 0.061 0.500 0.189
Pd2 0.210 0.000 0.739
```

Output
Formation energy from the elements (eV per formula unit): -2.85
DOS(E_F) (states/eV/atom): 0.3457
Uncorrected energy (eV per atom): -3.949


Pr2Sm3ErS6: relaxed, PBE.

Cell and atoms, written as CIF:
```
data_Pr2Sm3ErS6
_space_group_name_H-M_alt 'C 1 2/m 1'
_space_group_IT_number 12
_cell_length_a 17.476
_cell_length_b 4.004
_cell_length_c 8.085
_cell_angle_alpha 90.00
_cell_angle_beta 103.10
_cell_angle_gamma 90.00
loop_
_space_group_symop_operation_xyz
'x,y,z'
'-x,-y,-z'
'-x,y,-z'
'x,-y,z'
'x+1/2,y+1/2,z'
'-x+1/2,-y+1/2,-z'
'-x+1/2,y+1/2,-z'
'x+1/2,-y+1/2,z'
loop_
_atom_site_label
_atom_site_fract_x
_atom_site_fract_y
_atom_site_fract_z
Pr1 0.168 0.000 0.336
Sm1 0.000 0.500 0.500
Sm2 0.170 0.000 0.833
Er1 0.000 0.500 0.000
S1 0.003 0.000 0.762
S2 0.162 0.500 0.075
S3 0.164 0.500 0.588
```

Output
DOS(E_F) (states/eV/atom): 0.4394
Uncorrected energy (eV per atom): -6.426
ΔE_f (raw) (kcal/mol of atoms): -46.26


Y2Ti2Al: relaxed, PBE.

Cell and atoms, written as CIF:
```
data_Y2Ti2Al
_space_group_name_H-M_alt 'P 4/m b m'
_space_group_IT_number 127
_space_group_name_Hall '-P 4 2ab'
_cell_length_a 7.155
_cell_length_b 7.155
_cell_length_c 4.516
_cell_angle_alpha 90.00
_cell_angle_beta 90.00
_cell_angle_gamma 90.00
loop_
_atom_site_label
_atom_site_fract_x
_atom_site_fract_y
_atom_site_fract_z
Y1 0.165 0.335 0.000
Ti1 0.135 0.635 0.500
Al1 0.000 0.000 0.500
```

Output
Formation energy from the elements (eV per formula unit): 0.21
DOS(E_F) (states/eV/atom): 1.3512
Uncorrected energy (eV per atom): -6.449


Ac6SiS12: relaxed, PBE.

Cell and atoms, written as CIF:
```
data_Ac6SiS12
_space_group_name_H-M_alt 'R -3'
_space_group_IT_number 148
_space_group_name_Hall '-R 3'
_cell_length_a 12.5482
_cell_length_b 12.5482
_cell_length_c 11.9704
_cell_angle_alpha 90.00
_cell_angle_beta 90.00
_cell_angle_gamma 120.00
loop_
_atom_site_label
_atom_site_fract_x
_atom_site_fract_y
_atom_site_fract_z
Ac1 0.0596 0.7884 0.1521
Si1 0.0000 0.0000 0.5000
S1 0.0443 0.8173 0.9048
S2 0.0482 0.8692 0.3941
```

Output
DOS(E_F) (states/eV/atom): 1.1536
Uncorrected energy (eV per atom): -5.848
ΔE_f (raw) (kcal/mol of atoms): -38.23


Li4Mg3Cd4: relaxed, PBE.

Cell and atoms, written as CIF:
```
data_Li4Mg3Cd4
_space_group_name_H-M_alt 'I m m m'
_space_group_IT_number 71
_space_group_name_Hall '-I 2 2'
_cell_length_a 4.906
_cell_length_b 5.982
_cell_length_c 15.606
_cell_angle_alpha 90.00
_cell_angle_beta 90.00
_cell_angle_gamma 90.00
loop_
_atom_site_label
_atom_site_fract_x
_atom_site_fract_y
_atom_site_fract_z
Li1 0.000 0.237 0.183
Mg1 0.000 0.000 0.389
Mg2 0.000 0.500 0.500
Cd1 0.000 0.262 0.000
Cd2 0.000 0.500 0.322
```

Output
Formation energy from the elements (eV per formula unit): -0.86
Relative energy among the computed polymorphs (eV/atom): 0.113
DOS(E_F) (states/eV/atom): 0.3259
Uncorrected energy (eV per atom): -1.542


TcOs2Br2: relaxed, PBE.

Cell and atoms, written as CIF:
```
data_TcOs2Br2
_space_group_name_H-M_alt 'P 4/m b m'
_space_group_IT_number 127
_space_group_name_Hall '-P 4 2ab'
_cell_length_a 6.451
_cell_length_b 6.451
_cell_length_c 5.042
_cell_angle_alpha 90.00
_cell_angle_beta 90.00
_cell_angle_gamma 90.00
loop_
_atom_site_label
_atom_site_fract_x
_atom_site_fract_y
_atom_site_fract_z
Tc1 0.000 0.000 0.000
Os1 0.132 0.368 0.000
Br1 0.185 0.315 0.500
```

Output
Relative energy among the computed polymorphs (eV/atom): 0.000
DOS(E_F) (states/eV/atom): 0.9819
Uncorrected energy (eV per atom): -6.071
ΔE_f (raw) (kcal/mol of atoms): 26.83


Tm2Zn2CdRh5: relaxed, PBE.

Cell and atoms, written as CIF:
```
data_Tm2Zn2CdRh5
_space_group_name_H-M_alt 'P 4/m b m'
_space_group_IT_number 127
_space_group_name_Hall '-P 4 2ab'
_cell_length_a 9.561
_cell_length_b 9.561
_cell_length_c 3.719
_cell_angle_alpha 90.00
_cell_angle_beta 90.00
_cell_angle_gamma 90.00
loop_
_atom_site_label
_atom_site_fract_x
_atom_site_fract_y
_atom_site_fract_z
Tm1 0.175 0.325 0.000
Zn1 0.123 0.623 0.000
Cd1 0.000 0.000 0.000
Rh1 0.000 0.500 0.500
Rh2 0.072 0.793 0.500
```

Output
Formation energy from the elements (eV per formula unit): -5.39
DOS(E_F) (states/eV/atom): 0.5811
Uncorrected energy (eV per atom): -5.455


Pa2Se2NO: relaxed, PBE.

Cell and atoms, written as CIF:
```
data_Pa2Se2NO
_space_group_name_H-M_alt 'I b a m'
_space_group_IT_number 72
_space_group_name_Hall '-I 2 2c'
_cell_length_a 5.512
_cell_length_b 14.116
_cell_length_c 5.496
_cell_angle_alpha 90.00
_cell_angle_beta 90.00
_cell_angle_gamma 90.00
loop_
_atom_site_label
_atom_site_fract_x
_atom_site_fract_y
_atom_site_fract_z
Pa1 0.240 0.090 0.000
Se1 0.247 0.317 0.000
N1 0.000 0.000 0.250
O1 0.000 0.500 0.250
```

Output
DOS(E_F) (states/eV/atom): 0.7884
Uncorrected energy (eV per atom): -8.717
ΔE_f (raw) (kcal/mol of atoms): -50.19


Co2RhCl: relaxed, PBE.

Cell and atoms, written as CIF:
```
data_Co2RhCl
_space_group_name_H-M_alt 'P m m m'
_space_group_IT_number 47
_cell_length_a 2.865
_cell_length_b 3.066
_cell_length_c 6.816
_cell_angle_alpha 90.00
_cell_angle_beta 90.00
_cell_angle_gamma 90.00
loop_
_space_group_symop_operation_xyz
'x,y,z'
'-x,-y,-z'
'-x,-y,z'
'x,y,-z'
'x,-y,-z'
'-x,y,z'
'-x,y,-z'
'x,-y,z'
loop_
_atom_site_label
_atom_site_fract_x
_atom_site_fract_y
_atom_site_fract_z
Co1 0.000 0.000 0.217
Rh1 0.500 0.500 0.000
Cl1 0.500 0.000 0.500
```

Output
Relative energy among the computed polymorphs (eV/atom): 0.028
DOS(E_F) (states/eV/atom): 1.4934
Uncorrected energy (eV per atom): -5.601
ΔE_f (raw) (kcal/mol of atoms): 5.80


LiBeSb2: relaxed, PBE.

Cell and atoms, written as CIF:
```
data_LiBeSb2
_space_group_name_H-M_alt 'I -4 m 2'
_space_group_IT_number 119
_space_group_name_Hall 'I -4 -2'
_cell_length_a 3.916
_cell_length_b 3.916
_cell_length_c 10.339
_cell_angle_alpha 90.00
_cell_angle_beta 90.00
_cell_angle_gamma 90.00
loop_
_atom_site_label
_atom_site_fract_x
_atom_site_fract_y
_atom_site_fract_z
Li1 0.000 0.000 0.000
Be1 0.000 0.500 0.250
Sb1 0.000 0.000 0.500
Sb2 0.000 0.500 0.750
```

Output
DOS(E_F) (states/eV/atom): 0.4912
Uncorrected energy (eV per atom): -3.281
ΔE_f (raw) (kcal/mol of atoms): 4.38


OsPtSe2: relaxed, PBE.

Cell and atoms, written as CIF:
```
data_OsPtSe2
_space_group_name_H-M_alt 'P 1 m 1'
_space_group_IT_number 6
_cell_length_a 3.091
_cell_length_b 3.687
_cell_length_c 7.403
_cell_angle_alpha 90.00
_cell_angle_beta 101.64
_cell_angle_gamma 90.00
loop_
_space_group_symop_operation_xyz
'x,y,z'
'x,-y,z'
loop_
_atom_site_label
_atom_site_fract_x
_atom_site_fract_y
_atom_site_fract_z
Os1 0.000 0.000 0.000
Pt1 0.592 0.500 0.190
Se1 0.164 0.000 0.340
Se2 0.894 0.500 0.780
```

Output
Relative energy among the computed polymorphs (eV/atom): 0.000
DOS(E_F) (states/eV/atom): 0.8978
Uncorrected energy (eV per atom): -5.894
ΔE_f (raw) (kcal/mol of atoms): 3.82


BiTeAuN2: relaxed, PBE.

Cell and atoms, written as CIF:
```
data_BiTeAuN2
_space_group_name_H-M_alt 'P 4/m m m'
_space_group_IT_number 123
_space_group_name_Hall '-P 4 2'
_cell_length_a 4.344
_cell_length_b 4.344
_cell_length_c 5.717
_cell_angle_alpha 90.00
_cell_angle_beta 90.00
_cell_angle_gamma 90.00
loop_
_atom_site_label
_atom_site_fract_x
_atom_site_fract_y
_atom_site_fract_z
Bi1 0.000 0.000 0.000
Te1 0.500 0.500 0.000
Au1 0.500 0.500 0.500
N1 0.000 0.500 0.500
```

Output
Relative energy among the computed polymorphs (eV/atom): 0.046
DOS(E_F) (states/eV/atom): 0.4193
Uncorrected energy (eV per atom): -3.783
ΔE_f (raw) (kcal/mol of atoms): 37.05


CsKCuTe2: relaxed, PBE.

Cell and atoms, written as CIF:
```
data_CsKCuTe2
_space_group_name_H-M_alt 'P m m a'
_space_group_IT_number 51
_cell_length_a 5.944
_cell_length_b 8.466
_cell_length_c 7.431
_cell_angle_alpha 90.00
_cell_angle_beta 90.00
_cell_angle_gamma 90.00
loop_
_space_group_symop_operation_xyz
'x,y,z'
'-x,-y,-z'
'-x+1/2,-y,z'
'x+1/2,y,-z'
'x+1/2,-y,-z'
'-x+1/2,y,z'
'-x,y,-z'
'x,-y,z'
loop_
_atom_site_label
_atom_site_fract_x
_atom_site_fract_y
_atom_site_fract_z
Cs1 0.250 0.000 0.220
K1 0.250 0.500 0.384
Cu1 0.000 0.500 0.000
Te1 0.250 0.291 0.809
```

Output
DOS(E_F) (states/eV/atom): 0.4292
Uncorrected energy (eV per atom): -3.025
ΔE_f (raw) (kcal/mol of atoms): -12.89


K3TlSb: relaxed, PBE.

Cell and atoms, written as CIF:
```
data_K3TlSb
_space_group_name_H-M_alt 'P m -3 m'
_space_group_IT_number 221
_space_group_name_Hall '-P 4 2 3'
_cell_length_a 6.712
_cell_length_b 6.712
_cell_length_c 6.712
_cell_angle_alpha 90.00
_cell_angle_beta 90.00
_cell_angle_gamma 90.00
loop_
_atom_site_label
_atom_site_fract_x
_atom_site_fract_y
_atom_site_fract_z
K1 0.000 0.000 0.500
Tl1 0.500 0.500 0.500
Sb1 0.000 0.000 0.000
```

Output
Relative energy among the computed polymorphs (eV/atom): 0.188
DOS(E_F) (states/eV/atom): 1.2034
Uncorrected energy (eV per atom): -1.952
ΔE_f (raw) (kcal/mol of atoms): 0.10


CeAl2Hg: relaxed, PBE.

Cell and atoms, written as CIF:
```
data_CeAl2Hg
_space_group_name_H-M_alt 'P 4/m m m'
_space_group_IT_number 123
_space_group_name_Hall '-P 4 2'
_cell_length_a 4.513
_cell_length_b 4.513
_cell_length_c 4.344
_cell_angle_alpha 90.00
_cell_angle_beta 90.00
_cell_angle_gamma 90.00
loop_
_atom_site_label
_atom_site_fract_x
_atom_site_fract_y
_atom_site_fract_z
Ce1 0.000 0.000 0.000
Al1 0.000 0.500 0.500
Hg1 0.500 0.500 0.000
```

Output
Formation energy from the elements (eV per formula unit): -0.99
Relative energy among the computed polymorphs (eV/atom): 0.000
DOS(E_F) (states/eV/atom): 1.5191
Uncorrected energy (eV per atom): -3.678


As4PW: relaxed, PBE.

Cell and atoms, written as CIF:
```
data_As4PW
_space_group_name_H-M_alt 'F -4 3 m'
_space_group_IT_number 216
_space_group_name_Hall 'F -4 2 3'
_cell_length_a 7.605
_cell_length_b 7.605
_cell_length_c 7.605
_cell_angle_alpha 90.00
_cell_angle_beta 90.00
_cell_angle_gamma 90.00
loop_
_atom_site_label
_atom_site_fract_x
_atom_site_fract_y
_atom_site_fract_z
As1 0.125 0.125 0.125
P1 0.000 0.000 0.500
W1 0.250 0.250 0.750
```

Output
Formation energy from the elements (eV per formula unit): 6.67
DOS(E_F) (states/eV/atom): 0.8667
Uncorrected energy (eV per atom): -5.049


ScCl: relaxed, PBE.

Cell and atoms, written as CIF:
```
data_ScCl
_space_group_name_H-M_alt 'P m m n'
_space_group_IT_number 59
_cell_length_a 3.597
_cell_length_b 4.749
_cell_length_c 5.811
_cell_angle_alpha 90.00
_cell_angle_beta 90.00
_cell_angle_gamma 90.00
loop_
_space_group_symop_operation_xyz
'x,y,z'
'-x,-y,-z'
'-x+1/2,-y+1/2,z'
'x+1/2,y+1/2,-z'
'x+1/2,-y,-z'
'-x+1/2,y,z'
'-x,y+1/2,-z'
'x,-y+1/2,z'
loop_
_atom_site_label
_atom_site_fract_x
_atom_site_fract_y
_atom_site_fract_z
Sc1 0.250 0.250 0.035
Cl1 0.250 0.750 0.298
```

Output
DOS(E_F) (states/eV/atom): 0.6596
Uncorrected energy (eV per atom): -4.996
ΔE_f (raw) (kcal/mol of atoms): -20.92


Nd2Ti3Bi2O12: relaxed, PBE.

Cell and atoms, written as CIF:
```
data_Nd2Ti3Bi2O12
_space_group_name_H-M_alt 'A e a 2'
_space_group_IT_number 41
_cell_length_a 5.464
_cell_length_b 33.419
_cell_length_c 5.424
_cell_angle_alpha 90.00
_cell_angle_beta 90.00
_cell_angle_gamma 90.00
loop_
_space_group_symop_operation_xyz
'x,y,z'
'-x,-y,z'
'-x+1/2,y+1/2,z'
'x+1/2,-y+1/2,z'
'x,y+1/2,z+1/2'
'-x,-y+1/2,z+1/2'
'-x+1/2,y,z+1/2'
'x+1/2,-y,z+1/2'
loop_
_atom_site_label
_atom_site_fract_x
_atom_site_fract_y
_atom_site_fract_z
Nd1 0.005 0.065 0.000
Ti1 0.000 0.000 0.494
Ti2 0.000 0.128 0.488
Bi1 0.026 0.211 0.986
O1 0.065 0.180 0.491
O2 0.081 0.444 0.973
O3 0.234 0.378 0.717
O4 0.239 0.108 0.744
O5 0.250 0.013 0.231
O6 0.250 0.251 0.237
```

Output
DOS(E_F) (states/eV/atom): 0.0000
Uncorrected energy (eV per atom): -8.003
ΔE_f (raw) (kcal/mol of atoms): -62.59


La10Dy6Mg: relaxed, PBE.

Cell and atoms, written as CIF:
```
data_La10Dy6Mg
_space_group_name_H-M_alt 'P -3 1 m'
_space_group_IT_number 162
_space_group_name_Hall '-P 3 2'
_cell_length_a 9.9439
_cell_length_b 9.9439
_cell_length_c 6.9604
_cell_angle_alpha 90.00
_cell_angle_beta 90.00
_cell_angle_gamma 120.00
loop_
_atom_site_label
_atom_site_fract_x
_atom_site_fract_y
_atom_site_fract_z
La1 0.0000 0.2671 0.1786
La2 0.3333 0.6667 0.0000
La3 0.3333 0.6667 0.5000
Dy1 0.0000 0.3638 0.6774
Mg1 0.0000 0.0000 0.5000
```

Output
Formation energy from the elements (eV per formula unit): 2.04
DOS(E_F) (states/eV/atom): 1.7000
Uncorrected energy (eV per atom): -4.497